one) Here is KIn4 after structural relaxation from Alexandria via LeMat-Bulk. Energies are from PBE.

Results
N(E_F), states/eV/cell: 4.7
Symmetry: Pm-3m
Size of the total moment, μB/cell: 0.00

Structure (extended XYZ):
```
5
Lattice="6.0559 0.0000 0.0000 0.0000 6.0559 0.0000 0.0000 0.0000 6.0559" Properties=species:S:1:pos:R:3 pbc="T T T"
K 0.0000 0.0000 0.0000
In 0.0000 0.0000 3.0279
In 0.0000 3.0279 0.0000
In 3.0279 0.0000 0.0000
In 3.0279 3.0279 3.0279
```

---

two) Here is KIn4 after structural relaxation from Alexandria via LeMat-Bulk. Energies are from PBE.

Results
N(E_F), states/eV/cell: 5.6
Symmetry: I4/m
Size of the total moment, μB/cell: 0.00

Structure (extended XYZ):
```
10
Lattice="7.5080 0.0000 0.0000 0.0000 7.5080 0.0000 0.0000 0.0000 5.3854" Properties=species:S:1:pos:R:3 pbc="T T T"
K 0.0000 0.0000 0.0000
K 3.7540 3.7540 2.6927
In 0.1010 2.2511 2.6927
In 1.5029 3.8550 0.0000
In 2.2511 7.4070 2.6927
In 3.6530 1.5029 0.0000
In 3.8550 6.0051 0.0000
In 5.2569 0.1010 2.6927
In 6.0051 3.6530 0.0000
In 7.4070 5.2569 2.6927
```

---

three) Here is KIn4 after structural relaxation from Alexandria via LeMat-Bulk. Energies are from PBE.

Results
N(E_F), states/eV/cell: 3.6
Symmetry: I4/mmm
Size of the total moment, μB/cell: 0.00

Structure (extended XYZ):
```
10
Lattice="4.9384 0.0000 0.0000 0.0000 4.9384 0.0000 0.0000 0.0000 12.8277" Properties=species:S:1:pos:R:3 pbc="T T T"
K 0.0000 0.0000 0.0000
K 2.4692 2.4692 6.4138
In 0.0000 0.0000 4.9650
In 0.0000 0.0000 7.8626
In 0.0000 2.4692 3.2069
In 0.0000 2.4692 9.6207
In 2.4692 0.0000 3.2069
In 2.4692 0.0000 9.6207
In 2.4692 2.4692 1.4488
In 2.4692 2.4692 11.3789
```

---

Which one sits at the bottom of the stability order? one) does.

---

one) Here is K5In after structural relaxation from Alexandria via LeMat-Bulk. Energies are from PBE.

Results
N(E_F), states/eV/cell: 11.1
Symmetry: Cm
Size of the total moment, μB/cell: 0.00

Structure (extended XYZ):
```
12
Lattice="15.1626 0.0000 0.0000 0.0000 4.7111 0.0000 -3.9885 0.0000 9.8384" Properties=species:S:1:pos:R:3 pbc="T T T"
K 0.0000 0.0000 0.0000
K -1.3151 0.0000 4.0382
K -0.6833 2.3555 7.6630
K 3.8801 0.0000 1.4775
K 2.5972 0.0000 5.5388
K 7.5813 2.3555 0.0000
K 6.2662 2.3555 4.0382
K 6.8980 0.0000 7.6630
K 11.4614 2.3555 1.4775
K 10.1784 2.3555 5.5388
In 1.2913 2.3555 2.7788
In 8.8726 0.0000 2.7788
```

---

two) Here is K5In after structural relaxation from Alexandria via LeMat-Bulk. Energies are from PBE.

Results
N(E_F), states/eV/cell: 9.1
Symmetry: Cmmm
Size of the total moment, μB/cell: 0.00

Structure (extended XYZ):
```
12
Lattice="6.2596 0.0000 0.0000 0.0000 17.1143 0.0000 0.0000 0.0000 6.2571" Properties=species:S:1:pos:R:3 pbc="T T T"
K 0.0000 0.0000 0.0000
K 0.0000 2.5404 3.1285
K 0.0000 6.0496 0.0000
K 0.0000 11.0648 0.0000
K 0.0000 14.5740 3.1285
K 3.1298 2.5076 0.0000
K 3.1298 6.0168 3.1285
K 3.1298 8.5572 0.0000
K 3.1298 11.0976 3.1285
K 3.1298 14.6067 0.0000
In 0.0000 8.5572 3.1285
In 3.1298 0.0000 3.1285
```

---

three) Here is K5In after structural relaxation from Alexandria via LeMat-Bulk. Energies are from PBE.

Results
N(E_F), states/eV/cell: 4.9
Symmetry: P6/mmm
Size of the total moment, μB/cell: 0.29

Structure (extended XYZ):
```
6
Lattice="7.7900 0.0000 0.0000 -3.8950 6.7464 0.0000 0.0000 0.0000 7.4699" Properties=species:S:1:pos:R:3 pbc="T T T"
K -1.9475 3.3732 0.0000
K 0.0000 4.4976 3.7349
K 3.8950 0.0000 0.0000
K 1.9475 3.3732 0.0000
K 3.8950 2.2488 3.7349
In 0.0000 0.0000 3.7349
```

---

four) Here is K5In after structural relaxation from Alexandria via LeMat-Bulk. Energies are from PBE.

Results
N(E_F), states/eV/cell: 5.3
Symmetry: P-62m
Size of the total moment, μB/cell: 0.03

Structure (extended XYZ):
```
6
Lattice="7.5691 0.0000 0.0000 -3.7845 6.5550 0.0000 0.0000 0.0000 6.6597" Properties=species:S:1:pos:R:3 pbc="T T T"
K -2.6513 4.5922 0.0000
K 1.1332 1.9628 0.0000
K 0.0000 4.3700 3.3298
K 3.7845 2.1850 3.3298
K 5.3026 0.0000 0.0000
In 0.0000 0.0000 3.3298
```

---

Which one sits at the bottom of the stability order? three) does.

---

one) Here is K2LaIn2 after structural relaxation from Alexandria via LeMat-Bulk. Energies are from PBE.

Results
N(E_F), states/eV/cell: 7.4
Symmetry: P4/mbm
Size of the total moment, μB/cell: 0.26

Structure (extended XYZ):
```
10
Lattice="10.0540 0.0000 0.0000 0.0000 10.0540 0.0000 0.0000 0.0000 3.4845" Properties=species:S:1:pos:R:3 pbc="T T T"
K 1.1897 3.8373 0.0000
K 3.8373 8.8643 0.0000
K 6.2167 1.1897 0.0000
K 8.8643 6.2167 0.0000
La 0.0000 0.0000 0.0000
La 5.0270 5.0270 0.0000
In 1.8464 6.8734 1.7423
In 3.1806 1.8464 1.7423
In 6.8734 8.2076 1.7423
In 8.2076 3.1806 1.7423
```

---

two) Here is K2LaIn2 after structural relaxation from Alexandria via LeMat-Bulk. Energies are from PBE.

Results
N(E_F), states/eV/cell: 13.1
Symmetry: I4/mmm
Size of the total moment, μB/cell: 0.00

Structure (extended XYZ):
```
10
Lattice="6.0245 0.0000 0.0000 0.0000 6.0245 0.0000 0.0000 0.0000 10.5122" Properties=species:S:1:pos:R:3 pbc="T T T"
K 0.0000 0.0000 1.4252
K 0.0000 0.0000 9.0870
K 3.0122 3.0122 3.8309
K 3.0122 3.0122 6.6813
La 0.0000 0.0000 5.2561
La 3.0122 3.0122 0.0000
In 0.0000 3.0122 2.6281
In 0.0000 3.0122 7.8842
In 3.0122 0.0000 2.6281
In 3.0122 0.0000 7.8842
```

---

three) Here is K2LaIn2 after structural relaxation from Alexandria via LeMat-Bulk. Energies are from PBE.

Results
N(E_F), states/eV/cell: 12.0
Symmetry: P4/mbm
Size of the total moment, μB/cell: 1.58

Structure (extended XYZ):
```
10
Lattice="8.3084 0.0000 0.0000 0.0000 8.3084 0.0000 0.0000 0.0000 5.9958" Properties=species:S:1:pos:R:3 pbc="T T T"
K 1.4163 2.7379 0.0000
K 2.7379 6.8921 0.0000
K 5.5705 1.4163 0.0000
K 6.8921 5.5705 0.0000
La 0.0000 0.0000 2.9979
La 4.1542 4.1542 2.9979
In 1.0325 5.1867 2.9979
In 3.1216 1.0325 2.9979
In 5.1867 7.2758 2.9979
In 7.2758 3.1216 2.9979
```

---

Which one sits at the bottom of the stability order? two) does.

---

one) Here is KLa2In2 after structural relaxation from Alexandria via LeMat-Bulk. Energies are from PBE.

Results
N(E_F), states/eV/cell: 13.4
Symmetry: I4/mmm
Size of the total moment, μB/cell: 0.00

Structure (extended XYZ):
```
10
Lattice="5.0965 0.0000 0.0000 0.0000 5.0965 0.0000 0.0000 0.0000 14.5815" Properties=species:S:1:pos:R:3 pbc="T T T"
K 0.0000 0.0000 0.0000
K 2.5483 2.5483 7.2908
La 0.0000 2.5483 3.6454
La 0.0000 2.5483 10.9361
La 2.5483 0.0000 3.6454
La 2.5483 0.0000 10.9361
In 0.0000 0.0000 5.8503
In 0.0000 0.0000 8.7312
In 2.5483 2.5483 1.4404
In 2.5483 2.5483 13.1411
```

---

two) Here is KLa2In2 after structural relaxation from Alexandria via LeMat-Bulk. Energies are from PBE.

Results
N(E_F), states/eV/cell: 7.1
Symmetry: P4/mbm
Size of the total moment, μB/cell: 0.41

Structure (extended XYZ):
```
10
Lattice="9.9613 0.0000 0.0000 0.0000 9.9613 0.0000 0.0000 0.0000 3.4467" Properties=species:S:1:pos:R:3 pbc="T T T"
K 0.0000 0.0000 0.0000
K 4.9806 4.9806 0.0000
La 1.2249 3.7557 0.0000
La 3.7557 8.7363 0.0000
La 6.2056 1.2249 0.0000
La 8.7363 6.2056 0.0000
In 1.7205 6.7012 1.7234
In 3.2601 1.7205 1.7234
In 6.7012 8.2407 1.7234
In 8.2407 3.2601 1.7234
```

---

Which one sits at the bottom of the stability order? one) does.

---

one) Here is KLiIn after structural relaxation from Alexandria via LeMat-Bulk. Energies are from PBE.

Results
N(E_F), states/eV/cell: 2.2
Symmetry: P-1
Size of the total moment, μB/cell: 0.00

Structure (extended XYZ):
```
6
Lattice="4.0087 0.0000 0.0000 0.0000 4.0364 0.0000 -1.9637 -0.0522 12.2969" Properties=species:S:1:pos:R:3 pbc="T T T"
K -0.0047 1.0172 4.1434
K 2.0497 2.9670 8.1535
Li -0.0024 1.0101 0.9253
Li 2.0473 2.9741 11.3716
In 0.0423 0.9550 10.8811
In 2.0027 3.0292 1.4158
```

---

two) Here is KLiIn after structural relaxation from Alexandria via LeMat-Bulk. Energies are from PBE.

Results
N(E_F), states/eV/cell: 10.3
Symmetry: F-43m
Size of the total moment, μB/cell: 0.00

Structure (extended XYZ):
```
12
Lattice="7.9460 0.0000 0.0000 0.0000 7.9460 0.0000 0.0000 0.0000 7.9460" Properties=species:S:1:pos:R:3 pbc="T T T"
K 0.0000 0.0000 0.0000
K 0.0000 3.9730 3.9730
K 3.9730 0.0000 3.9730
K 3.9730 3.9730 0.0000
Li 1.9865 1.9865 1.9865
Li 1.9865 5.9595 5.9595
Li 5.9595 1.9865 5.9595
Li 5.9595 5.9595 1.9865
In 1.9865 1.9865 5.9595
In 1.9865 5.9595 1.9865
In 5.9595 1.9865 1.9865
In 5.9595 5.9595 5.9595
```

---

three) Here is KLiIn after structural relaxation from Alexandria via LeMat-Bulk. Energies are from PBE.

Results
N(E_F), states/eV/cell: 3.0
Symmetry: P3m1
Size of the total moment, μB/cell: 0.00

Structure (extended XYZ):
```
3
Lattice="3.6353 0.0000 0.0000 -1.8177 3.1483 0.0000 0.0000 0.0000 8.4834" Properties=species:S:1:pos:R:3 pbc="T T T"
K 0.0000 0.0000 0.0000
Li 0.0000 2.0989 3.2765
In 1.8177 1.0494 5.4337
```

---

four) Here is KLiIn after structural relaxation from Alexandria via LeMat-Bulk. Energies are from PBE.

Results
N(E_F), states/eV/cell: 2.9
Symmetry: Imm2
Size of the total moment, μB/cell: 0.00

Structure (extended XYZ):
```
6
Lattice="3.4157 0.0000 0.0000 0.0000 4.4037 0.0000 0.0000 0.0000 12.6994" Properties=species:S:1:pos:R:3 pbc="T T T"
K 0.0000 0.0000 0.0000
K 1.7079 2.2019 6.3497
Li 0.0000 0.0000 9.2199
Li 1.7079 2.2019 2.8702
In 0.0000 0.0000 3.7218
In 1.7079 2.2019 10.0714
```

---

Which one sits at the bottom of the stability order? two) does.

---

one) Here is KLiIn after structural relaxation from Alexandria via LeMat-Bulk. Energies are from PBE.

Results
N(E_F), states/eV/cell: 2.6
Symmetry: Cmcm
Size of the total moment, μB/cell: 0.00

Structure (extended XYZ):
```
12
Lattice="4.9256 0.0000 0.0000 0.0000 12.6632 0.0000 0.0000 0.0000 6.1497" Properties=species:S:1:pos:R:3 pbc="T T T"
K 0.0000 2.7994 1.5374
K 0.0000 9.8638 4.6123
K 2.4628 3.5322 4.6123
K 2.4628 9.1311 1.5374
Li 0.0000 0.4300 4.6123
Li 0.0000 12.2332 1.5374
Li 2.4628 5.9016 1.5374
Li 2.4628 6.7616 4.6123
In 0.0000 6.3316 0.0000
In 0.0000 6.3316 3.0749
In 2.4628 0.0000 0.0000
In 2.4628 0.0000 3.0749
```

---

two) Here is KLiIn after structural relaxation from Alexandria via LeMat-Bulk. Energies are from PBE.

Results
N(E_F), states/eV/cell: 9.3
Symmetry: F-43m
Size of the total moment, μB/cell: 0.00

Structure (extended XYZ):
```
12
Lattice="7.5500 0.0000 0.0000 0.0000 7.5500 0.0000 0.0000 0.0000 7.5500" Properties=species:S:1:pos:R:3 pbc="T T T"
K 0.0000 0.0000 0.0000
K 0.0000 3.7750 3.7750
K 3.7750 0.0000 3.7750
K 3.7750 3.7750 0.0000
Li 1.8875 1.8875 1.8875
Li 1.8875 5.6625 5.6625
Li 5.6625 1.8875 5.6625
Li 5.6625 5.6625 1.8875
In 0.0000 0.0000 3.7750
In 0.0000 3.7750 0.0000
In 3.7750 0.0000 0.0000
In 3.7750 3.7750 3.7750
```

---

three) Here is KLiIn after structural relaxation from Alexandria via LeMat-Bulk. Energies are from PBE.

Results
N(E_F), states/eV/cell: 4.1
Symmetry: Cm
Size of the total moment, μB/cell: 0.00

Structure (extended XYZ):
```
12
Lattice="8.3322 0.0000 0.0000 0.0000 4.8152 0.0000 -2.8205 0.0000 11.2518" Properties=species:S:1:pos:R:3 pbc="T T T"
K 0.0000 0.0000 0.0000
K -1.4174 2.4076 7.4292
K 4.1661 2.4076 0.0000
K 2.7487 0.0000 7.4292
Li 1.3716 2.4076 2.4448
Li 2.7643 0.0000 3.6851
Li 5.5377 0.0000 2.4448
Li 6.9304 2.4076 3.6851
In -0.0157 0.0000 3.8212
In 1.3687 2.4076 5.1972
In 4.1504 2.4076 3.8212
In 5.5348 0.0000 5.1972
```

---

four) Here is KLiIn after structural relaxation from Alexandria via LeMat-Bulk. Energies are from PBE.

Results
N(E_F), states/eV/cell: 3.8
Symmetry: Cm
Size of the total moment, μB/cell: 0.00

Structure (extended XYZ):
```
12
Lattice="8.3204 0.0000 0.0000 0.0000 4.8160 0.0000 -2.7745 0.0000 10.9294" Properties=species:S:1:pos:R:3 pbc="T T T"
K 0.0000 0.0000 0.0000
K -1.4274 2.4080 7.0539
K 4.1602 2.4080 0.0000
K 2.7328 0.0000 7.0539
Li 1.3571 2.4080 4.9496
Li 2.7578 0.0000 3.2396
Li 5.5173 0.0000 4.9496
Li 6.9180 2.4080 3.2396
In -0.0199 0.0000 3.9404
In 1.3752 2.4080 2.2581
In 4.1403 2.4080 3.9404
In 5.5354 0.0000 2.2581
```

---

Which one sits at the bottom of the stability order? two) does.